Entry 1:
PRu2Pt | Alexandria | PBE | optimized geometry; formation enthalpy at 0 K = 0.07 eV/atom; theoretical density = 12.21 g/cm3; total magnetic moment = 0.0 μB per cell; Fermi-level density of states = 3.7 states/eV/f.u.
1.0
-0.7754 -2.2735 -1.4020
1.8449 -2.1453 2.4585
-4.6054 -0.3644 3.1380
Ru P Pt
2 1 1
direct
0.5000 0.5000 0.2788 Ru
0.0000 0.0000 0.0158 Ru
0.0000 0.0000 0.4302 P
0.5000 0.5000 0.7752 Pt

Entry 2:
P2RuPtS | Alexandria | PBE | optimized geometry; theoretical density = 6.41 g/cm3; formation energy (no corrections) = 6.0 eV per formula unit; total magnetic moment = 2.0 μB per cell; energy relative to the lowest polymorph listed for this composition = 378 meV/atom; Fermi-level density of states = 5.3 states/eV/f.u.
1.0
4.5731 0.0000 0.0000
0.0000 4.5731 0.0000
0.0000 0.0000 4.8356
S P Ru Pt
1 2 1 1
direct
0.0000 0.0000 0.5000 S
0.5000 0.0000 0.0000 P
0.0000 0.5000 0.0000 P
0.5000 0.5000 0.5000 Ru
0.0000 0.0000 0.0000 Pt

Entry 3:
P2RuPtS | Alexandria | PBE | optimized geometry; theoretical density = 6.85 g/cm3; formation energy (no corrections) = 4.1 eV per formula unit; total magnetic moment = 0.0 μB per cell; energy relative to the lowest polymorph listed for this composition = 0 meV/atom; Fermi-level density of states = 4.4 states/eV/f.u.
1.0
-1.2044 -3.5588 2.3071
3.7752 -1.9926 -1.1029
2.1322 1.8468 3.9619
P Pt Ru S
2 1 1 1
direct
0.0000 0.5000 0.0000 P
0.5000 0.0000 0.0000 P
0.5000 0.5000 0.5000 Pt
0.0000 0.0000 0.0000 Ru
0.0000 0.0000 0.5000 S

Entry 4:
Si2PRuPt | Alexandria | PBE | optimized geometry; theoretical density = 7.39 g/cm3; formation energy (no corrections) = 4.7 eV per formula unit; total magnetic moment = 0.7 μB per cell; Fermi-level density of states = 5.4 states/eV/f.u.
1.0
4.3861 0.0000 0.0000
0.0000 4.4773 0.0000
0.0000 0.0000 4.3861
P Ru Si Pt
1 1 2 1
direct
0.0000 0.0000 0.0000 P
0.5000 0.5000 0.5000 Ru
0.5000 0.0000 0.0000 Si
0.0000 0.0000 0.5000 Si
0.0000 0.5000 0.0000 Pt

Entry 5:
ThPRuPt | Alexandria | PBE | optimized geometry; formation enthalpy at 0 K = -1.09 eV/atom; theoretical density = 12.31 g/cm3; total magnetic moment = 0.0 μB per cell; Fermi-level density of states = 3.0 states/eV/f.u.
1.0
4.0015 0.0000 0.0000
0.0000 4.0015 0.0000
0.0000 0.0000 9.4190
Pt Th Ru P
2 2 2 2
direct
0.5000 0.0000 0.9013 Pt
0.0000 0.5000 0.0987 Pt
0.0000 0.5000 0.7713 Th
0.5000 0.0000 0.2287 Th
0.0000 0.0000 0.5000 Ru
0.5000 0.5000 0.5000 Ru
0.0000 0.5000 0.3688 P
0.5000 0.0000 0.6312 P

Entry 6:
Ti2PRuPt | Alexandria | PBE | optimized geometry; formation enthalpy at 0 K = 0.87 eV/atom; theoretical density = 6.62 g/cm3; total magnetic moment = 0.0 μB per cell; Fermi-level density of states = 7.8 states/eV/f.u.
1.0
4.7100 0.0000 0.0000
0.0000 4.7829 0.0000
0.0000 0.0000 4.7100
Ru Ti P Pt
1 2 1 1
direct
0.0000 0.5000 0.0000 Ru
0.5000 0.0000 0.0000 Ti
0.0000 0.0000 0.5000 Ti
0.5000 0.5000 0.5000 P
0.0000 0.0000 0.0000 Pt